No. 1
! Pr2Sc3Sn4 | Alexandria | PBE-GGA | optimized geometry; values from VASP
! **SG**: Cmce, No. 64
! **D(E_F)**: 11.55 states/eV/cell
! **ΔH_f (0 K)**: -666 meV/atom
! **Distance to the lowest polymorph of the same formula**: 0.103 eV/atom
! **Electronic total energy**: -5.618 eV/atom
&SYSTEM
  ibrav = 0, nat = 18, ntyp = 3
/
ATOMIC_SPECIES
Pr 140.91 Pr.upf
Sc 44.96 Sc.upf
Sn 118.71 Sn.upf
CELL_PARAMETERS angstrom
6.682 0.000 0.000
0.000 8.667 0.000
-3.341 0.000 8.392
ATOMIC_POSITIONS angstrom
Pr 3.341 3.576 6.497
Pr 0.000 0.757 6.497
Pr 3.341 7.910 1.895
Pr 0.000 5.091 1.895
Sc -1.671 6.500 4.867
Sc 0.000 0.000 0.000
Sc 1.671 2.167 3.525
Sc 5.012 2.167 3.525
Sc 3.341 4.334 0.000
Sc 1.671 6.500 4.867
Sn 3.341 4.777 3.137
Sn 1.671 2.167 0.628
Sn 5.012 2.167 0.628
Sn 0.000 3.890 5.255
Sn 0.000 8.224 3.137
Sn -1.671 6.500 7.765
Sn 3.341 0.443 5.255
Sn 1.671 6.500 7.765

No. 2
! LaCu2BSe | Alexandria | PBE-GGA | optimized geometry; values from VASP
! **SG**: P4/mmm, No. 123
! **D(E_F)**: 1.66 states/eV/cell
! **Electronic total energy**: -4.926 eV/atom
! **Formation energy from raw total energies**: -0.2694 eV per atom
&SYSTEM
  ibrav = 0, nat = 5, ntyp = 4
/
ATOMIC_SPECIES
B 10.81 B.upf
La 138.91 La.upf
Se 78.96 Se.upf
Cu 63.55 Cu.upf
CELL_PARAMETERS angstrom
4.111 0.000 0.000
0.000 5.477 0.000
0.000 0.000 4.111
ATOMIC_POSITIONS angstrom
B 0.000 0.000 0.000
La 2.056 2.739 2.056
Se 0.000 2.739 0.000
Cu 2.056 0.000 0.000
Cu 0.000 0.000 2.056

No. 3
! PuAl2H8 | Alexandria | PBE-GGA | optimized geometry; values from VASP
! **SG**: Immm, No. 71
! **D(E_F)**: 8.24 states/eV/cell
! **Electronic total energy**: -4.506 eV/atom
&SYSTEM
  ibrav = 0, nat = 11, ntyp = 3
/
ATOMIC_SPECIES
H 1.01 H.upf
Pu 244.00 Pu.upf
Al 26.98 Al.upf
CELL_PARAMETERS angstrom
-2.152 2.163 1.775
-4.596 -2.751 1.289
1.314 -0.200 5.347
ATOMIC_POSITIONS angstrom
H -3.851 -0.884 3.427
H -3.976 -0.143 5.882
H -1.460 1.733 3.138
H -1.583 0.095 4.984
H -3.974 -2.521 5.272
H -2.233 -1.770 6.467
H -3.200 0.981 1.943
H -1.457 -0.646 2.529
Pu -1.076 1.081 0.887
Al -0.581 -1.018 4.046
Al -2.701 -1.933 2.590

No. 4
! Ba3H5Br | Alexandria | PBE-GGA | optimized geometry; values from VASP
! **SG**: Cmcm, No. 63
! **D(E_F)**: 0.00 states/eV/cell
! **Electronic total energy**: -3.495 eV/atom
&SYSTEM
  ibrav = 0, nat = 18, ntyp = 3
/
ATOMIC_SPECIES
Ba 137.33 Ba.upf
H 1.01 H.upf
Br 79.90 Br.upf
CELL_PARAMETERS angstrom
4.298 0.000 0.000
-2.149 7.074 0.000
0.000 0.000 12.535
ATOMIC_POSITIONS angstrom
Ba 0.000 1.339 9.401
Ba 0.000 5.325 11.993
Ba 2.149 1.749 5.725
Ba 2.149 1.749 0.543
Ba 0.000 5.325 6.810
Ba 2.149 5.735 3.134
H 2.149 0.598 8.063
H 0.000 0.000 6.268
H 0.000 0.000 0.000
H 0.000 6.476 1.795
H 0.000 2.707 7.075
H 2.149 4.367 5.461
H 0.000 2.707 11.728
H 2.149 0.598 10.740
H 2.149 4.367 0.807
H 0.000 6.476 4.472
Br 2.149 4.597 9.401
Br 0.000 2.477 3.134

No. 5
! PmEuBi4 | Alexandria | PBE-GGA | optimized geometry; values from VASP
! **SG**: F-43m, No. 216
! **D(E_F)**: 4.48 states/eV/cell
! **ΔH_f (0 K)**: -273 meV/atom
! **Electronic total energy**: -5.364 eV/atom
&SYSTEM
  ibrav = 0, nat = 6, ntyp = 3
/
ATOMIC_SPECIES
Pm 145.00 Pm.upf
Bi 208.98 Bi.upf
Eu 151.96 Eu.upf
CELL_PARAMETERS angstrom
-4.325 -3.489 3.571
2.029 -3.276 5.365
-1.768 2.091 6.011
ATOMIC_POSITIONS angstrom
Pm -1.016 -1.168 3.737
Bi -0.378 -1.177 7.557
Bi -1.656 -3.966 6.337
Bi -3.554 -1.284 6.660
Bi -2.540 -2.921 9.342
Eu 0.000 0.000 0.000

No. 6
! Cd4GaPt15 | Alexandria | PBE-GGA | optimized geometry; values from VASP
! **SG**: P4/mmm, No. 123
! **D(E_F)**: 22.49 states/eV/cell
! **ΔH_f (0 K)**: -233 meV/atom
! **Electronic total energy**: -5.098 eV/atom
&SYSTEM
  ibrav = 0, nat = 20, ntyp = 3
/
ATOMIC_SPECIES
Cd 112.41 Cd.upf
Pt 195.08 Pt.upf
Ga 69.72 Ga.upf
CELL_PARAMETERS angstrom
-3.111 -2.138 1.380
2.441 -3.124 0.663
3.604 6.772 18.624
ATOMIC_POSITIONS angstrom
Cd 2.897 5.443 14.969
Cd 1.437 2.700 7.425
Cd 0.707 1.329 3.655
Cd 2.167 4.072 11.199
Pt 0.976 3.687 13.771
Pt 0.372 -1.303 4.675
Pt 4.486 4.574 17.207
Pt 1.103 0.070 8.451
Pt 1.831 1.439 12.216
Pt -1.217 -0.433 2.439
Pt 1.559 -0.926 2.081
Pt 2.293 0.454 5.875
Pt -0.483 0.947 6.233
Pt 0.247 2.317 10.002
Pt 3.752 3.194 13.412
Pt 1.710 5.067 17.565
Pt 2.562 2.812 15.992
Pt -0.335 -2.631 1.022
Pt 3.023 1.824 9.644
Ga 0.000 0.000 0.000

No. 7
! Ce2SmBr2N2 | Alexandria | PBE-GGA | optimized geometry; values from VASP
! **SG**: I4/mmm, No. 139
! **D(E_F)**: 13.41 states/eV/cell
! **Electronic total energy**: -6.465 eV/atom
! **Formation energy from raw total energies**: -1.2388 eV per atom
&SYSTEM
  ibrav = 0, nat = 7, ntyp = 4
/
ATOMIC_SPECIES
Br 79.90 Br.upf
N 14.01 N.upf
Sm 150.36 Sm.upf
Ce 140.12 Ce.upf
CELL_PARAMETERS angstrom
4.616 0.000 0.000
0.000 4.616 0.000
-2.308 -2.308 7.825
ATOMIC_POSITIONS angstrom
Br 0.000 0.000 2.965
Br 2.308 2.308 4.860
N 0.000 2.308 0.000
N 2.308 0.000 0.000
Sm 0.000 0.000 0.000
Ce 2.308 2.308 1.445
Ce 0.000 0.000 6.380

No. 8
! CdHg4Pb15 | Alexandria | PBE-GGA | optimized geometry; values from VASP
! **SG**: P4/mmm, No. 123
! **D(E_F)**: 6.29 states/eV/cell
! **ΔH_f (0 K)**: 6 meV/atom
! **Electronic total energy**: -2.882 eV/atom
&SYSTEM
  ibrav = 0, nat = 20, ntyp = 3
/
ATOMIC_SPECIES
Pb 207.20 Pb.upf
Hg 200.59 Hg.upf
Cd 112.41 Cd.upf
CELL_PARAMETERS angstrom
4.851 0.000 0.000
0.000 4.851 0.000
0.000 0.000 25.691
ATOMIC_POSITIONS angstrom
Pb 2.425 2.425 10.281
Pb 2.425 0.000 23.144
Pb 2.425 2.425 20.562
Pb 2.425 2.425 0.000
Pb 2.425 0.000 12.846
Pb 0.000 2.425 17.978
Pb 0.000 2.425 23.144
Pb 0.000 2.425 7.713
Pb 2.425 0.000 7.713
Pb 2.425 2.425 5.129
Pb 2.425 2.425 15.410
Pb 2.425 0.000 2.547
Pb 2.425 0.000 17.978
Pb 0.000 2.425 2.547
Pb 0.000 2.425 12.846
Hg 0.000 0.000 20.545
Hg 0.000 0.000 10.290
Hg 0.000 0.000 15.401
Hg 0.000 0.000 5.146
Cd 0.000 0.000 0.000

No. 9
! RbTeI2Cl | Alexandria | PBE-GGA | optimized geometry; values from VASP
! **SG**: P4/mmm, No. 123
! **D(E_F)**: 13.61 states/eV/cell
! **Distance to the lowest polymorph of the same formula**: 1.009 eV/atom
! **Electronic total energy**: -1.507 eV/atom
! **Formation energy from raw total energies**: 0.3043 eV per atom
&SYSTEM
  ibrav = 0, nat = 5, ntyp = 4
/
ATOMIC_SPECIES
I 126.90 I.upf
Rb 85.47 Rb.upf
Cl 35.45 Cl.upf
Te 127.60 Te.upf
CELL_PARAMETERS angstrom
-6.832 -1.051 0.256
0.737 -3.329 6.018
-0.862 6.504 3.703
ATOMIC_POSITIONS angstrom
I 0.369 -1.664 3.009
I -3.416 -0.526 0.128
Rb 0.000 0.000 0.000
Cl -3.478 1.062 4.988
Te -0.431 3.252 1.851

No. 10
! Ce4TlIn3 | Alexandria | PBE-GGA | optimized geometry; values from VASP
! **SG**: C2/m, No. 12
! **D(E_F)**: 18.45 states/eV/cell
! **ΔH_f (0 K)**: -172 meV/atom
! **Distance to the lowest polymorph of the same formula**: 0.159 eV/atom
! **Electronic total energy**: -4.461 eV/atom
&SYSTEM
  ibrav = 0, nat = 8, ntyp = 3
/
ATOMIC_SPECIES
In 114.82 In.upf
Ce 140.12 Ce.upf
Tl 204.38 Tl.upf
CELL_PARAMETERS angstrom
5.503 0.000 0.000
0.000 5.472 -0.297
-2.752 -1.907 7.190
ATOMIC_POSITIONS angstrom
In 0.000 2.736 -0.149
In 2.752 3.463 5.117
In 0.000 0.102 1.776
Ce 0.000 0.729 5.215
Ce 2.752 2.837 1.678
Ce 2.752 0.686 3.479
Ce 0.000 2.880 3.413
Tl 2.752 0.000 0.000

No. 11
! TiFeNi | Alexandria | PBE-GGA | optimized geometry; values from VASP
! **SG**: I4mm, No. 107
! **D(E_F)**: 3.62 states/eV/cell
! **ΔH_f (0 K)**: -192 meV/atom
! **Electronic total energy**: -7.571 eV/atom
&SYSTEM
  ibrav = 0, nat = 3, ntyp = 3
/
ATOMIC_SPECIES
Ni 58.69 Ni.upf
Ti 47.87 Ti.upf
Fe 55.84 Fe.upf
CELL_PARAMETERS angstrom
-1.706 -1.285 2.178
2.273 0.373 2.001
-1.791 4.184 -1.072
ATOMIC_POSITIONS angstrom
Ni -1.219 3.259 3.103
Ti -0.220 0.788 2.429
Fe -1.010 2.497 0.682

No. 12
! Pm6Pr2Ho3In | Alexandria | PBE-GGA | optimized geometry; values from VASP
! **SG**: C2/m, No. 12
! **D(E_F)**: 14.07 states/eV/cell
! **ΔH_f (0 K)**: -54 meV/atom
! **Electronic total energy**: -4.599 eV/atom
&SYSTEM
  ibrav = 0, nat = 12, ntyp = 4
/
ATOMIC_SPECIES
Pr 140.91 Pr.upf
Pm 145.00 Pm.upf
In 114.82 In.upf
Ho 164.93 Ho.upf
CELL_PARAMETERS angstrom
6.203 -0.004 -0.001
-3.104 5.371 -0.001
-1.033 -1.789 11.718
ATOMIC_POSITIONS angstrom
Pr 3.100 1.788 -0.001
Pr -0.001 3.579 -0.001
Pm 3.077 1.830 8.764
Pm -0.025 -0.043 8.759
Pm 2.091 3.621 2.957
Pm 2.019 -0.002 2.952
Pm 0.047 3.580 8.764
Pm -1.011 1.748 2.952
In 0.000 0.000 0.000
Ho 4.131 0.000 5.858
Ho 1.033 1.789 5.858
Ho -2.065 3.578 5.858